1.
The following is a GGA-PBE calculation of a geometry-optimized Hg2OsBr structure, from Alexandria via LeMat-Bulk.

POSCAR file:
```
Hg2OsBr
1.0
3.2028 0.0000 0.0000
0.0000 3.2028 0.0000
0.0000 0.0000 8.4905
Hg Os Br
2 1 1
Direct
0.0000 0.0000 0.2078
0.0000 0.0000 0.7922
0.5000 0.5000 0.0000
0.5000 0.5000 0.5000
```

V, Å³/cell: 87.09
D(E_F), states/eV/f.u.: 4.9
Total DFT energy (no corrections), hartree per atom: -0.0946
Energy relative to the elements, uncorrected, meV per atom: 802.6

---

2.
The following is a GGA-PBE calculation of a geometry-optimized DyHo2Ga3 structure, from Alexandria via LeMat-Bulk.

POSCAR file:
```
DyHo2Ga3
1.0
5.0300 0.0000 0.0000
-2.5150 4.3561 0.0000
0.0000 0.0000 12.3538
Dy Ho Ga
2 4 6
Direct
0.3333 0.6667 0.1667
0.6667 0.3333 0.8333
0.0000 0.0000 0.0000
0.0000 0.0000 0.5000
0.3333 0.6667 0.6662
0.6667 0.3333 0.3338
0.0000 0.0000 0.2505
0.0000 0.0000 0.7495
0.3333 0.6667 0.4170
0.3333 0.6667 0.9164
0.6667 0.3333 0.0836
0.6667 0.3333 0.5830
```

ΔE_f, eV per atom: -0.58
V, Å³/cell: 270.68
D(E_F), states/eV/f.u.: 2.1
Total DFT energy (no corrections), hartree per atom: -0.1613

---

3.
The following is a GGA-PBE calculation of a geometry-optimized Tb6Dy5Tl structure, from Alexandria via LeMat-Bulk.

POSCAR file:
```
Tb6Dy5Tl
1.0
-2.4748 4.9710 7.5128
2.4748 -4.9710 7.5128
2.4748 4.9710 -7.5128
Tb Dy Tl
6 5 1
Direct
0.0802 0.3336 0.7466
0.2452 0.0000 0.2452
0.4130 0.6664 0.7466
0.5870 0.3336 0.2534
0.7548 0.0000 0.7548
0.9198 0.6664 0.2534
0.1682 0.1682 0.0000
0.3366 0.8366 0.5000
0.5000 0.5000 0.0000
0.6634 0.1634 0.5000
0.8318 0.8318 0.0000
0.0000 0.5000 0.5000
```

ΔE_f, eV per atom: -0.03
V, Å³/cell: 369.69
D(E_F), states/eV/f.u.: 16.4
Total DFT energy (no corrections), hartree per atom: -0.1639

---

4.
The following is a GGA-PBE calculation of a geometry-optimized Pm2TmCd structure, from Alexandria via LeMat-Bulk.

POSCAR file:
```
Pm2TmCd
1.0
1.7475 1.0089 12.2884
-1.7475 1.0089 12.2884
0.0000 -2.0179 12.2884
Pm Tm Cd
2 1 1
Direct
0.0894 0.0894 0.0894
0.9106 0.9106 0.9106
0.5000 0.5000 0.5000
0.0000 0.0000 0.0000
```

ΔE_f, eV per atom: 0.14
V, Å³/cell: 130.00
D(E_F), states/eV/f.u.: 3.5
Total DFT energy (no corrections), hartree per atom: -0.1315

---

5.
The following is a GGA-PBE calculation of a geometry-optimized K2RbY structure, from Alexandria via LeMat-Bulk.

POSCAR file:
```
K2RbY
1.0
-5.3693 5.3693 4.1841
5.3693 -5.3693 4.1841
5.3693 5.3693 -4.1841
K Rb Y
4 2 2
Direct
0.1232 0.6250 0.9982
0.3750 0.3732 0.4982
0.6268 0.1250 0.0018
0.8750 0.8768 0.5018
0.0000 0.0000 0.0000
0.7500 0.2500 0.5000
0.2500 0.7500 0.5000
0.5000 0.5000 0.0000
```

ΔE_f, eV per atom: 0.67
V, Å³/cell: 482.50
D(E_F), states/eV/f.u.: 6.6
Total DFT energy (no corrections), hartree per atom: -0.0636

---

6.
The following is a GGA-PBE calculation of a geometry-optimized CsKNaHg2 structure, from Alexandria via LeMat-Bulk.

POSCAR file:
```
CsKNaHg2
1.0
7.3496 0.0000 0.0000
0.0000 7.8458 0.0000
0.0000 0.0000 7.5189
Cs K Na Hg
2 2 2 4
Direct
0.2500 0.0000 0.2291
0.7500 0.0000 0.7709
0.2500 0.5000 0.0410
0.7500 0.5000 0.9590
0.0000 0.5000 0.5000
0.5000 0.5000 0.5000
0.2500 0.2013 0.6956
0.2500 0.7987 0.6956
0.7500 0.2013 0.3044
0.7500 0.7987 0.3044
```

ΔE_f, eV per atom: -0.14
V, Å³/cell: 433.57
D(E_F), states/eV/f.u.: 3.4
Total DFT energy (no corrections), hartree per atom: -0.0337

---

Please write out number 6 again, unchanged.
The following is a GGA-PBE calculation of a geometry-optimized CsKNaHg2 structure, from Alexandria via LeMat-Bulk.

POSCAR file:
```
CsKNaHg2
1.0
7.3496 0.0000 0.0000
0.0000 7.8458 0.0000
0.0000 0.0000 7.5189
Cs K Na Hg
2 2 2 4
Direct
0.2500 0.0000 0.2291
0.7500 0.0000 0.7709
0.2500 0.5000 0.0410
0.7500 0.5000 0.9590
0.0000 0.5000 0.5000
0.5000 0.5000 0.5000
0.2500 0.2013 0.6956
0.2500 0.7987 0.6956
0.7500 0.2013 0.3044
0.7500 0.7987 0.3044
```

ΔE_f, eV per atom: -0.14
V, Å³/cell: 433.57
D(E_F), states/eV/f.u.: 3.4
Total DFT energy (no corrections), hartree per atom: -0.0337

---

- Which of these has the lowest D(E_F)?
  DyHo2Ga3